Compound: NaCoAsO4
Source: the Open Quantum Materials Database
Functional: PBE+U
Structure: relaxed

## Properties
The symmetry is R-3 (148). Its total energy is -5.807 eV/atom.

Cell: 9.2334 9.2334 9.2334 Å, 31.22 31.22 31.22°
Site moments in Bohr magnetons follow the coordinates.
Sites, in units of the cell vectors:
1 As 0.4321 0.4321 0.4321  0.02
2 As 0.5679 0.5679 0.5679  0.02
3 Co 0.1634 0.1634 0.1634  2.70
4 Co 0.8366 0.8366 0.8366  2.70
5 Na 0.2869 0.2869 0.2869  0.00
6 Na 0.7131 0.7131 0.7131  0.00
7 O 0.7792 0.4636 0.1159  0.07
8 O 0.5364 0.8841 0.2208  0.06
9 O 0.3684 0.3684 0.3684  0.02
10 O 0.1159 0.7792 0.4636  0.06
11 O 0.8841 0.2208 0.5364  0.06
12 O 0.6316 0.6316 0.6316  0.02
13 O 0.4636 0.1159 0.7792  0.06
14 O 0.2208 0.5364 0.8841  0.07